# Al2ZnGa5, optimized geometry, DFT PBE
# M_tot ... 0.00 μB per formula unit
# Theoretical density ... 5.40 g/cm3
# Energy of formation ... 0.05 eV per atom
data_Al2ZnGa5
_symmetry_space_group_name_H-M 'P 1'
_symmetry_Int_Tables_number 1
_cell_length_a 5.436
_cell_length_b 5.544
_cell_length_c 5.654
_cell_angle_alpha 63.06
_cell_angle_beta 72.87
_cell_angle_gamma 75.67
loop_
_symmetry_equiv_pos_as_xyz
'x,y,z'
loop_
_atom_site_label
_atom_site_type_symbol
_atom_site_fract_x
_atom_site_fract_y
_atom_site_fract_z
Al1 Al 0.000 0.000 0.000
Al2 Al 0.000 0.500 0.500
Zn1 Zn 0.500 0.000 0.500
Ga1 Ga 0.000 0.000 0.500
Ga2 Ga 0.000 0.500 0.000
Ga3 Ga 0.500 0.000 0.000
Ga4 Ga 0.500 0.500 0.000
Ga5 Ga 0.500 0.500 0.500

---

# Al3Zn4Ga2, optimized geometry, DFT PBE
# M_tot ... 0.00 μB per formula unit
# Theoretical density ... 5.31 g/cm3
# Energy of formation ... 0.06 eV per atom
data_Al3Zn4Ga2
_symmetry_space_group_name_H-M 'P 1'
_symmetry_Int_Tables_number 1
_cell_length_a 2.840
_cell_length_b 2.840
_cell_length_c 21.566
_cell_angle_alpha 90.00
_cell_angle_beta 90.00
_cell_angle_gamma 120.00
loop_
_symmetry_equiv_pos_as_xyz
'x,y,z'
loop_
_atom_site_label
_atom_site_type_symbol
_atom_site_fract_x
_atom_site_fract_y
_atom_site_fract_z
Al1 Al 0.000 0.000 0.000
Al2 Al 0.000 0.000 0.343
Al3 Al 0.667 0.333 0.663
Zn1 Zn 0.000 0.000 0.555
Zn2 Zn 0.000 0.000 0.772
Zn3 Zn 0.667 0.333 0.236
Zn4 Zn 0.667 0.333 0.450
Ga1 Ga 0.667 0.333 0.112
Ga2 Ga 0.667 0.333 0.886

---

# Al2Zn5Ga4, optimized geometry, DFT PBE
# M_tot ... 0.00 μB per formula unit
# Theoretical density ... 5.79 g/cm3
# Energy of formation ... 0.03 eV per atom
data_Al2Zn5Ga4
_symmetry_space_group_name_H-M 'P 1'
_symmetry_Int_Tables_number 1
_cell_length_a 10.866
_cell_length_b 10.866
_cell_length_c 6.281
_cell_angle_alpha 90.81
_cell_angle_beta 90.81
_cell_angle_gamma 14.80
loop_
_symmetry_equiv_pos_as_xyz
'x,y,z'
loop_
_atom_site_label
_atom_site_type_symbol
_atom_site_fract_x
_atom_site_fract_y
_atom_site_fract_z
Al1 Al 0.146 0.146 0.085
Al2 Al 0.854 0.854 0.915
Zn1 Zn 0.000 0.000 0.500
Zn2 Zn 0.275 0.275 0.168
Zn3 Zn 0.305 0.305 0.576
Zn4 Zn 0.695 0.695 0.424
Zn5 Zn 0.725 0.725 0.832
Ga1 Ga 0.400 0.400 0.305
Ga2 Ga 0.460 0.460 0.846
Ga3 Ga 0.540 0.540 0.154
Ga4 Ga 0.600 0.600 0.695

---

# ZrAlZnGa2, optimized geometry, DFT PBE
# M_tot ... 0.00 μB per formula unit
# Theoretical density ... 3.61 g/cm3
# Energy of formation ... 0.81 eV per atom
data_ZrAlZnGa2
_symmetry_space_group_name_H-M 'P 1'
_symmetry_Int_Tables_number 1
_cell_length_a 5.264
_cell_length_b 5.264
_cell_length_c 5.370
_cell_angle_alpha 90.00
_cell_angle_beta 90.00
_cell_angle_gamma 90.00
loop_
_symmetry_equiv_pos_as_xyz
'x,y,z'
loop_
_atom_site_label
_atom_site_type_symbol
_atom_site_fract_x
_atom_site_fract_y
_atom_site_fract_z
Zr1 Zr 0.000 0.000 0.000
Al1 Al 0.000 0.000 0.500
Zn1 Zn 0.500 0.500 0.500
Ga1 Ga 0.000 0.500 0.000
Ga2 Ga 0.500 0.000 0.000

---

# ZrAlZnGa, optimized geometry, DFT PBE
# M_tot ... 0.00 μB per formula unit
# Theoretical density ... 6.21 g/cm3
# Energy of formation ... -0.48 eV per atom
data_ZrAlZnGa
_symmetry_space_group_name_H-M 'P 1'
_symmetry_Int_Tables_number 1
_cell_length_a 4.020
_cell_length_b 4.083
_cell_length_c 4.124
_cell_angle_alpha 90.00
_cell_angle_beta 90.00
_cell_angle_gamma 90.00
loop_
_symmetry_equiv_pos_as_xyz
'x,y,z'
loop_
_atom_site_label
_atom_site_type_symbol
_atom_site_fract_x
_atom_site_fract_y
_atom_site_fract_z
Zr1 Zr 0.000 0.000 0.000
Al1 Al 0.500 0.000 0.500
Zn1 Zn 0.000 0.500 0.500
Ga1 Ga 0.500 0.500 0.000

---

# Zr2AlGa2, optimized geometry, DFT PBE
# M_tot ... 0.00 μB per formula unit
# Theoretical density ... 5.31 g/cm3
# Energy of formation ... 0.09 eV per atom
data_Zr2AlGa2
_symmetry_space_group_name_H-M 'P 1'
_symmetry_Int_Tables_number 1
_cell_length_a 4.363
_cell_length_b 4.363
_cell_length_c 11.452
_cell_angle_alpha 90.00
_cell_angle_beta 90.00
_cell_angle_gamma 90.00
loop_
_symmetry_equiv_pos_as_xyz
'x,y,z'
loop_
_atom_site_label
_atom_site_type_symbol
_atom_site_fract_x
_atom_site_fract_y
_atom_site_fract_z
Zr1 Zr 0.000 0.500 0.250
Zr2 Zr 0.000 0.500 0.750
Zr3 Zr 0.500 0.000 0.250
Zr4 Zr 0.500 0.000 0.750
Al1 Al 0.000 0.000 0.000
Al2 Al 0.500 0.500 0.500
Ga1 Ga 0.000 0.000 0.398
Ga2 Ga 0.000 0.000 0.602
Ga3 Ga 0.500 0.500 0.102
Ga4 Ga 0.500 0.500 0.898

---

# ZrAl4Ga, optimized geometry, DFT PBE
# M_tot ... 0.00 μB per formula unit
# Theoretical density ... 4.18 g/cm3
# Energy of formation ... -0.17 eV per atom
data_ZrAl4Ga
_symmetry_space_group_name_H-M 'P 1'
_symmetry_Int_Tables_number 1
_cell_length_a 5.325
_cell_length_b 5.325
_cell_length_c 5.325
_cell_angle_alpha 60.00
_cell_angle_beta 60.00
_cell_angle_gamma 60.00
loop_
_symmetry_equiv_pos_as_xyz
'x,y,z'
loop_
_atom_site_label
_atom_site_type_symbol
_atom_site_fract_x
_atom_site_fract_y
_atom_site_fract_z
Zr1 Zr 0.000 0.000 0.000
Al1 Al 0.375 0.375 0.375
Al2 Al 0.375 0.375 0.875
Al3 Al 0.375 0.875 0.375
Al4 Al 0.875 0.375 0.375
Ga1 Ga 0.750 0.750 0.750

---

# ZrAl3Ga, optimized geometry, DFT PBE
# M_tot ... 0.00 μB per formula unit
# Theoretical density ... 2.69 g/cm3
# Energy of formation ... 0.89 eV per atom
data_ZrAl3Ga
_symmetry_space_group_name_H-M 'P 1'
_symmetry_Int_Tables_number 1
_cell_length_a 5.308
_cell_length_b 5.308
_cell_length_c 5.308
_cell_angle_alpha 90.00
_cell_angle_beta 90.00
_cell_angle_gamma 90.00
loop_
_symmetry_equiv_pos_as_xyz
'x,y,z'
loop_
_atom_site_label
_atom_site_type_symbol
_atom_site_fract_x
_atom_site_fract_y
_atom_site_fract_z
Zr1 Zr 0.000 0.000 0.000
Al1 Al 0.000 0.000 0.500
Al2 Al 0.000 0.500 0.000
Al3 Al 0.500 0.000 0.000
Ga1 Ga 0.500 0.500 0.500

---

# ZrAl4Ga, optimized geometry, DFT PBE
# M_tot ... 0.00 μB per formula unit
# Theoretical density ... 4.22 g/cm3
# Energy of formation ... -0.22 eV per atom
data_ZrAl4Ga
_symmetry_space_group_name_H-M 'P 1'
_symmetry_Int_Tables_number 1
_cell_length_a 5.497
_cell_length_b 5.497
_cell_length_c 9.717
_cell_angle_alpha 90.00
_cell_angle_beta 90.00
_cell_angle_gamma 133.94
loop_
_symmetry_equiv_pos_as_xyz
'x,y,z'
loop_
_atom_site_label
_atom_site_type_symbol
_atom_site_fract_x
_atom_site_fract_y
_atom_site_fract_z
Zr1 Zr 0.165 0.835 0.500
Zr2 Zr 0.835 0.165 0.000
Al1 Al 0.005 0.995 0.240
Al2 Al 0.141 0.859 0.968
Al3 Al 0.313 0.687 0.229
Al4 Al 0.474 0.526 0.552
Al5 Al 0.526 0.474 0.052
Al6 Al 0.687 0.313 0.729
Al7 Al 0.859 0.141 0.468
Al8 Al 0.995 0.005 0.740
Ga1 Ga 0.341 0.659 0.789
Ga2 Ga 0.659 0.341 0.289

---

# Zr2AlGa, optimized geometry, DFT PBE
# M_tot ... 0.00 μB per formula unit
# Theoretical density ... 6.05 g/cm3
# Energy of formation ... -0.48 eV per atom
data_Zr2AlGa
_symmetry_space_group_name_H-M 'P 1'
_symmetry_Int_Tables_number 1
_cell_length_a 4.311
_cell_length_b 4.311
_cell_length_c 4.120
_cell_angle_alpha 90.00
_cell_angle_beta 90.00
_cell_angle_gamma 90.00
loop_
_symmetry_equiv_pos_as_xyz
'x,y,z'
loop_
_atom_site_label
_atom_site_type_symbol
_atom_site_fract_x
_atom_site_fract_y
_atom_site_fract_z
Zr1 Zr 0.000 0.500 0.000
Zr2 Zr 0.500 0.000 0.000
Al1 Al 0.000 0.000 0.500
Ga1 Ga 0.500 0.500 0.500

---

# ZrAlGa4, optimized geometry, DFT PBE
# M_tot ... 0.00 μB per formula unit
# Theoretical density ... 6.26 g/cm3
# Energy of formation ... -0.23 eV per atom
data_ZrAlGa4
_symmetry_space_group_name_H-M 'P 1'
_symmetry_Int_Tables_number 1
_cell_length_a 9.753
_cell_length_b 4.675
_cell_length_c 5.615
_cell_angle_alpha 90.00
_cell_angle_beta 124.66
_cell_angle_gamma 90.00
loop_
_symmetry_equiv_pos_as_xyz
'x,y,z'
loop_
_atom_site_label
_atom_site_type_symbol
_atom_site_fract_x
_atom_site_fract_y
_atom_site_fract_z
Zr1 Zr 0.000 0.000 0.000
Zr2 Zr 0.500 0.500 0.000
Al1 Al 0.000 0.000 0.500
Al2 Al 0.500 0.500 0.500
Ga1 Ga 0.170 0.500 0.427
Ga2 Ga 0.171 0.500 0.917
Ga3 Ga 0.329 0.000 0.083
Ga4 Ga 0.330 0.000 0.573
Ga5 Ga 0.670 0.000 0.427
Ga6 Ga 0.671 0.000 0.917
Ga7 Ga 0.829 0.500 0.083
Ga8 Ga 0.830 0.500 0.573

---

# Zr4Al5Ga2, optimized geometry, DFT PBE
# M_tot ... 0.00 μB per formula unit
# Theoretical density ... 5.19 g/cm3
# Energy of formation ... -0.46 eV per atom
data_Zr4Al5Ga2
_symmetry_space_group_name_H-M 'P 1'
_symmetry_Int_Tables_number 1
_cell_length_a 7.129
_cell_length_b 3.107
_cell_length_c 9.267
_cell_angle_alpha 90.00
_cell_angle_beta 94.28
_cell_angle_gamma 90.00
loop_
_symmetry_equiv_pos_as_xyz
'x,y,z'
loop_
_atom_site_label
_atom_site_type_symbol
_atom_site_fract_x
_atom_site_fract_y
_atom_site_fract_z
Zr1 Zr 0.166 0.000 0.387
Zr2 Zr 0.282 0.000 0.946
Zr3 Zr 0.718 0.000 0.054
Zr4 Zr 0.834 0.000 0.613
Al1 Al 0.197 0.500 0.665
Al2 Al 0.434 0.500 0.207
Al3 Al 0.500 0.500 0.500
Al4 Al 0.566 0.500 0.793
Al5 Al 0.803 0.500 0.335
Ga1 Ga 0.058 0.500 0.136
Ga2 Ga 0.942 0.500 0.864